[1]
Entry from Alexandria: a relaxed structure of La3Pm4Pb4 (GGA-PBE).

Its space group is No. 71. The raw total energy comes out at -4.85 eV/atom. For the total magnetization, the calculation gives 4.1 μB/cell. Its energy of formation from the pure elements is -0.43 eV per atom. The density of states at the Fermi level is 0.999 states/eV/atom. The calculated volume comes out at 379 Å³/cell.

The structure in POSCAR format:
```
La3Pm4Pb4
1.0
-2.190 4.836 8.942
2.190 -4.836 8.942
2.190 4.836 -8.942
La Pm Pb
3 4 4
direct
0.000 0.000 0.000
0.397 0.897 0.500
0.603 0.103 0.500
0.021 0.329 0.692
0.363 0.671 0.692
0.637 0.329 0.308
0.979 0.671 0.308
0.254 0.254 0.000
0.282 0.500 0.782
0.718 0.500 0.218
0.746 0.746 0.000
```

=====

[2]
Entry from Alexandria: a relaxed structure of La3Pm2Pb3 (GGA-PBE).

Its space group is No. 193. The raw total energy comes out at -4.98 eV/atom. For the total magnetization, the calculation gives 0.6 μB/cell. Its energy of formation from the pure elements is -0.56 eV per atom. The density of states at the Fermi level is 1.215 states/eV/atom. The calculated volume comes out at 543 Å³/cell.

The structure in POSCAR format:
```
La3Pm2Pb3
1.0
9.520 0.000 0.000
-4.760 8.245 0.000
0.000 0.000 6.924
La Pm Pb
6 4 6
direct
0.000 0.244 0.250
0.000 0.756 0.750
0.244 0.000 0.250
0.244 0.244 0.750
0.756 0.000 0.750
0.756 0.756 0.250
0.333 0.667 0.000
0.333 0.667 0.500
0.667 0.333 0.000
0.667 0.333 0.500
0.000 0.395 0.750
0.000 0.605 0.250
0.395 0.000 0.750
0.395 0.395 0.250
0.605 0.000 0.250
0.605 0.605 0.750
```

=====

[3]
Entry from Alexandria: a relaxed structure of La3PmPb3 (GGA-PBE).

Its space group is No. 12. The raw total energy comes out at -4.73 eV/atom. For the total magnetization, the calculation gives 0.0 μB/cell. Its energy of formation from the pure elements is -0.35 eV per atom. The density of states at the Fermi level is 0.800 states/eV/atom. The calculated volume comes out at 517 Å³/cell.

The structure in POSCAR format:
```
La3PmPb3
1.0
4.425 -6.899 0.000
4.425 6.899 0.000
-0.361 0.000 8.463
La Pm Pb
6 2 6
direct
0.163 0.837 0.000
0.225 0.775 0.500
0.379 0.379 0.130
0.621 0.621 0.870
0.775 0.225 0.500
0.837 0.163 0.000
0.269 0.269 0.579
0.731 0.731 0.421
0.054 0.054 0.278
0.151 0.498 0.798
0.498 0.151 0.798
0.502 0.849 0.202
0.849 0.502 0.202
0.946 0.946 0.722
```

=====

[4]
Entry from Alexandria: a relaxed structure of LaPmPb2 (GGA-PBE).

Its space group is No. 6. The raw total energy comes out at -4.85 eV/atom. For the total magnetization, the calculation gives 0.0 μB/cell. Its energy of formation from the pure elements is -0.58 eV per atom. The density of states at the Fermi level is 0.899 states/eV/atom. The calculated volume comes out at 130 Å³/cell.

The structure in POSCAR format:
```
LaPmPb2
1.0
4.734 0.000 0.000
0.000 4.557 0.000
-2.361 0.000 6.035
La Pm Pb
1 1 2
direct
0.000 0.000 0.000
0.264 0.500 0.530
0.539 0.500 0.078
0.728 0.000 0.459
```

=====

[5]
Entry from Alexandria: a relaxed structure of LaPm2Pb (GGA-PBE).

Its space group is No. 8. The raw total energy comes out at -4.68 eV/atom. For the total magnetization, the calculation gives 0.0 μB/cell. Its energy of formation from the pure elements is -0.15 eV per atom. The density of states at the Fermi level is 1.180 states/eV/atom. The calculated volume comes out at 269 Å³/cell.

The structure in POSCAR format:
```
LaPm2Pb
1.0
6.387 0.000 0.000
0.000 3.686 0.000
-2.115 0.000 11.411
La Pm Pb
2 4 2
direct
0.000 0.000 0.000
0.500 0.500 0.000
0.245 0.000 0.734
0.421 0.000 0.265
0.745 0.500 0.734
0.921 0.500 0.265
0.334 0.500 0.500
0.834 0.000 0.500
```

=====

[6]
Entry from Alexandria: a relaxed structure of La4Pm3Pb4 (GGA-PBE).

Its space group is No. 71. The raw total energy comes out at -4.89 eV/atom. For the total magnetization, the calculation gives 0.0 μB/cell. Its energy of formation from the pure elements is -0.45 eV per atom. The density of states at the Fermi level is 0.775 states/eV/atom. The calculated volume comes out at 364 Å³/cell.

The structure in POSCAR format:
```
La4Pm3Pb4
1.0
-1.888 4.871 9.896
1.888 -4.871 9.896
1.888 4.871 -9.896
La Pm Pb
4 3 4
direct
0.004 0.836 0.168
0.332 0.164 0.168
0.668 0.836 0.832
0.996 0.164 0.832
0.000 0.500 0.500
0.410 0.410 0.000
0.590 0.590 0.000
0.276 0.000 0.276
0.279 0.779 0.500
0.721 0.221 0.500
0.724 0.000 0.724
```

=====

[7]
Entry from Alexandria: a relaxed structure of LaPm3Pb (GGA-PBE).

Its space group is No. 59. The raw total energy comes out at -4.72 eV/atom. For the total magnetization, the calculation gives 0.0 μB/cell. Its energy of formation from the pure elements is -0.14 eV per atom. The density of states at the Fermi level is 1.364 states/eV/atom. The calculated volume comes out at 343 Å³/cell.

The structure in POSCAR format:
```
LaPm3Pb
1.0
3.663 0.000 0.000
0.000 6.751 0.000
0.000 0.000 13.870
La Pm Pb
2 6 2
direct
0.250 0.250 0.012
0.750 0.750 0.988
0.250 0.250 0.421
0.250 0.505 0.781
0.250 0.995 0.781
0.750 0.005 0.219
0.750 0.495 0.219
0.750 0.750 0.579
0.250 0.750 0.381
0.750 0.250 0.619
```

=====

[8]
Entry from Alexandria: a relaxed structure of LaPmPb (GGA-PBE).

Its space group is No. 156. The raw total energy comes out at -4.73 eV/atom. For the total magnetization, the calculation gives 0.0 μB/cell. Its energy of formation from the pure elements is -0.27 eV per atom. The density of states at the Fermi level is 1.097 states/eV/atom. The calculated volume comes out at 99 Å³/cell.

The structure in POSCAR format:
```
LaPmPb
1.0
5.363 0.000 0.000
-2.682 4.645 0.000
0.000 0.000 3.973
La Pm Pb
1 1 1
direct
0.000 0.000 0.000
0.667 0.333 0.563
0.333 0.667 0.347
```

=====

[9]
Entry from Alexandria: a relaxed structure of La8PmPb2 (GGA-PBE).

Its space group is No. 12. The raw total energy comes out at -4.84 eV/atom. For the total magnetization, the calculation gives 0.0 μB/cell. Its energy of formation from the pure elements is -0.15 eV per atom. The density of states at the Fermi level is 1.344 states/eV/atom. The calculated volume comes out at 377 Å³/cell.

The structure in POSCAR format:
```
La8PmPb2
1.0
7.991 -3.513 0.000
7.991 3.513 0.000
-1.070 0.000 6.717
La Pm Pb
8 1 2
direct
0.086 0.086 0.435
0.144 0.678 0.075
0.293 0.293 0.714
0.322 0.856 0.925
0.678 0.144 0.075
0.707 0.707 0.286
0.856 0.322 0.925
0.914 0.914 0.565
0.500 0.500 0.500
0.260 0.260 0.220
0.740 0.740 0.780
```

=====

[10]
Entry from Alexandria: a relaxed structure of La5PmPb4 (GGA-PBE).

Its space group is No. 12. The raw total energy comes out at -4.86 eV/atom. For the total magnetization, the calculation gives 0.0 μB/cell. Its energy of formation from the pure elements is -0.44 eV per atom. The density of states at the Fermi level is 0.745 states/eV/atom. The calculated volume comes out at 360 Å³/cell.

The structure in POSCAR format:
```
La5PmPb4
1.0
8.573 -2.828 0.000
8.573 2.828 0.000
-0.071 0.000 7.434
La Pm Pb
5 1 4
direct
0.000 0.000 0.000
0.333 0.333 0.490
0.334 0.334 0.005
0.666 0.666 0.995
0.667 0.667 0.510
0.000 0.000 0.500
0.174 0.174 0.749
0.492 0.492 0.744
0.508 0.508 0.256
0.826 0.826 0.251
```

=====

[11]
Entry from Alexandria: a relaxed structure of La2Pm2Pb (GGA-PBE).

Its space group is No. 194. The raw total energy comes out at -4.74 eV/atom. For the total magnetization, the calculation gives 0.0 μB/cell. Its energy of formation from the pure elements is -0.12 eV per atom. The density of states at the Fermi level is 1.485 states/eV/atom. The calculated volume comes out at 344 Å³/cell.

The structure in POSCAR format:
```
La2Pm2Pb
1.0
5.608 0.000 0.000
-2.804 4.857 0.000
0.000 0.000 12.626
La Pm Pb
4 4 2
direct
0.333 0.667 0.085
0.333 0.667 0.415
0.667 0.333 0.585
0.667 0.333 0.915
0.000 0.000 0.000
0.000 0.000 0.500
0.333 0.667 0.750
0.667 0.333 0.250
0.000 0.000 0.250
0.000 0.000 0.750
```

=====

[12]
Entry from Alexandria: a relaxed structure of LaPm4Pb2 (GGA-PBE).

Its space group is No. 139. The raw total energy comes out at -4.46 eV/atom. For the total magnetization, the calculation gives 0.0 μB/cell. Its energy of formation from the pure elements is 0.02 eV per atom. The density of states at the Fermi level is 0.956 states/eV/atom. The calculated volume comes out at 470 Å³/cell.

The structure in POSCAR format:
```
LaPm4Pb2
1.0
6.047 0.000 0.000
0.000 6.047 0.000
0.000 0.000 12.844
La Pm Pb
2 8 4
direct
0.000 0.000 0.000
0.500 0.500 0.500
0.000 0.500 0.000
0.000 0.500 0.250
0.000 0.500 0.500
0.000 0.500 0.750
0.500 0.000 0.000
0.500 0.000 0.250
0.500 0.000 0.500
0.500 0.000 0.750
0.000 0.000 0.367
0.000 0.000 0.633
0.500 0.500 0.133
0.500 0.500 0.867
```